{
  "formula": "LiMn2Ni9",
  "functional": "PBE",
  "state": "optimized geometry",
  "cell": [[3.5570, 0.0000, 0.0000], [0.0000, 3.5570, 0.0000], [0.0000, 0.0000, 10.6015]],
  "species": ["Li", "Mn", "Mn", "Ni", "Ni", "Ni", "Ni", "Ni", "Ni", "Ni", "Ni", "Ni"],
  "frac_coords": [[0.0000, 0.0000, 0.0000], [0.0000, 0.0000, 0.3306], [0.0000, 0.0000, 0.6694], [0.5000, 0.5000, 0.0000], [0.5000, 0.5000, 0.3321], [0.5000, 0.5000, 0.6679], [0.5000, 0.0000, 0.1638], [0.5000, 0.0000, 0.5000], [0.5000, 0.0000, 0.8362], [0.0000, 0.5000, 0.1638], [0.0000, 0.5000, 0.5000], [0.0000, 0.5000, 0.8362]],
  "density_g_cm3": 8.0,
  "space_group": "P4/mmm",
  "energy_ev_per_atom": -6.0781
}